Fe2CuPt2 | PBE | optimized geometry

abc: 3.891 13.469 5.361
angles: 90.00 90.00 90.00
Space group Cmc2_1 (No. 36)
Inequivalent atoms, fractional coordinates:
Fe 0.000 0.105 0.000 [4 per cell]
Fe 0.000 0.311 0.251 [4 per cell]
Cu 0.000 0.100 0.501 [4 per cell]
Pt 0.000 0.300 0.758 [4 per cell]
Pt 0.000 0.498 0.252 [4 per cell]

* formation energy: -0.04 eV per atom
* E_tot: -6.665 eV per atom
* magnetization: 6.66 μB per formula unit
* E above lowest polymorph: 105.2 meV/atom

***

RbBi2Pb4 | PBE | optimized geometry

abc: 4.942 19.867 5.310
angles: 90.00 90.00 90.00
Space group Cmmm (No. 65)
Inequivalent atoms, fractional coordinates:
Rb 0.000 0.000 0.000 [2 per cell]
Bi 0.000 0.418 0.500 [4 per cell]
Pb 0.000 0.185 0.500 [4 per cell]
Pb 0.000 0.313 0.000 [4 per cell]

* formation energy: -0.11 eV per atom
* E_tot: -3.479 eV per atom
* magnetization: 0.00 μB per formula unit

***

LaPmDy6 | PBE | optimized geometry

abc: 10.337 6.736 8.540
angles: 90.00 105.09 90.00
Space group C2/m (No. 12)
Inequivalent atoms, fractional coordinates:
La 0.000 0.000 0.000 [2 per cell]
Pm 0.000 0.000 0.500 [2 per cell]
Dy 0.123 0.500 0.422 [4 per cell]
Dy 0.199 0.259 0.798 [8 per cell]

* formation energy: 0.37 eV per atom
* E_tot: -4.296 eV per atom
* magnetization: 0.00 μB per formula unit
* E above lowest polymorph: 340.7 meV/atom

***

AgHN3 | PBE | optimized geometry

abc: 4.256 4.256 4.256
angles: 90.00 90.00 90.00
Space group Pm-3m (No. 221)
Inequivalent atoms, fractional coordinates:
Ag 0.000 0.000 0.000 [1 per cell]
H 0.500 0.500 0.500 [1 per cell]
N 0.000 0.000 0.500 [3 per cell]

* E_tot: -3.153 eV per atom
* magnetization: 6.83 μB per formula unit